Record 1
CeDy5Cd4 | GGA-PBE | optimized geometry

Unit cell a=3.6817 b=3.6817 c=19.8673 alpha=90.00 beta=90.00 gamma=90.00
Each line ends with the local moment (μB).
Element x y z (fractional)
Cd1 0.0000 0.0000 0.7895  0.00
Dy1 0.5000 0.5000 0.6917  -0.03
Ce1 0.0000 0.0000 0.0000  0.36
Dy2 0.5000 0.5000 0.5000  -0.01
Cd2 0.0000 0.0000 0.2105  0.00
Cd3 0.0000 0.0000 0.4038  0.00
Dy3 0.5000 0.5000 0.8860  0.00
Dy4 0.5000 0.5000 0.3083  -0.03
Dy5 0.5000 0.5000 0.1140  0.00
Cd4 0.0000 0.0000 0.5962  0.00

Formation energy from the elements = -221.0 kJ/mol of formula units
Total magnetization = 0.32 μB per formula unit
DOS at the Fermi energy = 13.115 states/eV/f.u.

---

Record 2
BePtW | GGA-PBE | optimized geometry

Unit cell a=4.3539 b=2.8723 c=6.6357 alpha=90.00 beta=99.13 gamma=90.00
Element x y z (fractional)
Be1 0.7392 0.7519 0.4380
W1 0.9655 0.2523 0.7746
Pt1 0.2402 0.2522 0.4176
Be2 0.1906 0.7519 0.1112
Pt2 0.6912 0.2522 0.1320
W2 0.4656 0.7523 0.7749

Formation energy from the elements = -46.4 kJ/mol of formula units
Total magnetization = 0.00 μB per formula unit
DOS at the Fermi energy = 1.473 states/eV/f.u.

---

Record 3
CsCd2Pd | GGA-PBE | optimized geometry

Unit cell a=3.5480 b=3.5480 c=8.7160 alpha=90.00 beta=90.00 gamma=90.00
Element x y z (fractional)
Cd1 0.0000 0.0000 0.1661
Cs1 0.5000 0.5000 0.5000
Cd2 0.0000 0.0000 0.8339
Pd1 0.5000 0.5000 0.0000

Formation energy from the elements = -20.5 kJ/mol of formula units
Total magnetization = 0.00 μB per formula unit
DOS at the Fermi energy = 1.825 states/eV/f.u.

---

Record 4
PmEuAlSi | GGA-PBE | optimized geometry

Unit cell a=5.1804 b=5.1804 c=5.1804 alpha=60.00 beta=60.00 gamma=60.00
Each line ends with the local moment (μB).
Element x y z (fractional)
Si1 0.0000 0.0000 0.0000  -0.02
Pm1 0.2500 0.2500 0.2500  0.02
Al1 0.5000 0.5000 0.5000  0.00
Eu1 0.7500 0.7500 0.7500  6.75

ΔE_f (raw) = -0.30 eV/atom
Total magnetization = 6.95 μB per formula unit
DOS at the Fermi energy = 1.627 states/eV/f.u.

---

Record 5
CsBeZnH2 | GGA-PBE | optimized geometry

Unit cell a=3.3654 b=14.6581 c=4.7621 alpha=90.00 beta=134.30 gamma=90.00
Element x y z (fractional)
H1 0.5000 0.2981 0.5000
H2 0.5000 0.0133 0.0000
Cs1 0.5000 0.4056 0.0000
H3 0.5000 0.5133 0.5000
Zn1 0.5000 0.1844 0.5000
Be1 0.5000 0.1091 0.0000
Cs2 0.5000 0.9056 0.5000
Zn2 0.5000 0.6844 0.0000
H4 0.5000 0.7981 0.0000
Be2 0.5000 0.6091 0.5000

Total magnetization = 0.00 μB per formula unit
Total DFT energy (no corrections) = -23.63 eV for the cell shown
DOS at the Fermi energy = 0.824 states/eV/f.u.

---

Record 6
Sm4PuSe5 | GGA-PBE | optimized geometry

Unit cell a=4.1772 b=4.1772 c=17.0842 alpha=82.98 beta=82.98 gamma=60.00
Each line ends with the local moment (μB).
Element x y z (fractional)
Se1 0.4002 0.4002 0.7993  0.00
Se2 0.8007 0.8007 0.5979  -0.05
Se3 0.0000 0.0000 0.0000  0.00
Sm1 0.1007 0.1007 0.6980  0.03
Pu1 0.5000 0.5000 0.5000  5.48
Sm2 0.8993 0.8993 0.3020  0.03
Se4 0.5998 0.5998 0.2007  0.00
Se5 0.1993 0.1993 0.4021  -0.05
Sm3 0.6997 0.6997 0.9010  0.00
Sm4 0.3003 0.3003 0.0990  0.00

ΔE_f (raw) = -1.77 eV/atom
Total magnetization = 5.86 μB per formula unit
DOS at the Fermi energy = 9.475 states/eV/f.u.

---

Record 7
Ba2YTl | GGA-PBE | optimized geometry

Unit cell a=12.3734 b=12.3734 c=12.3734 alpha=18.74 beta=18.74 gamma=18.74
Each line ends with the local moment (μB).
Element x y z (fractional)
Ba1 0.5061 0.5061 0.5061  0.03
Y1 0.7500 0.7500 0.7500  0.25
Tl1 0.2500 0.2500 0.2500  -0.01
Ba2 0.9939 0.9939 0.9939  0.03

Formation energy from the elements = 25.6 kJ/mol of formula units
Total magnetization = 0.72 μB per formula unit
DOS at the Fermi energy = 4.642 states/eV/f.u.

---

Record 8
K6MgF8 | GGA-PBE | optimized geometry

Unit cell a=6.7763 b=6.7763 c=6.7763 alpha=70.23 beta=70.23 gamma=70.23
Each line ends with the local moment (μB).
Element x y z (fractional)
K1 0.9399 0.5124 0.2954  0.00
F1 0.0882 0.8556 0.2886  0.01
K2 0.4876 0.7046 0.0601  0.00
F2 0.6553 0.6553 0.6553  0.10
F3 0.8556 0.2886 0.0882  0.01
K3 0.7046 0.0601 0.4876  0.00
F4 0.3447 0.3447 0.3447  0.10
K4 0.2954 0.9399 0.5124  0.00
Mg1 0.0000 0.0000 0.0000  0.00
F5 0.1444 0.7114 0.9118  0.01
F6 0.9118 0.1444 0.7114  0.01
F7 0.7114 0.9118 0.1444  0.01
K5 0.0601 0.4876 0.7046  0.00
K6 0.5124 0.2954 0.9399  0.00
F8 0.2886 0.0882 0.8556  0.01

ΔE_f (raw) = -2.85 eV/atom
Total magnetization = 0.30 μB per formula unit
DOS at the Fermi energy = 0.000 states/eV/f.u.